[1]
Below is an optimized crystal structure of MgIN2, with properties calculated at the GGA-PBEsol level.

abc: 3.3615 3.3615 6.3937
angles: 74.76 74.76 60.00
Element x y z (fractional)
1 I 0.0000 0.0000 0.0000
2 Mg 0.5000 0.5000 0.5000
3 N 0.8904 0.8904 0.3287
4 N 0.1096 0.1096 0.6713

## Properties
formation energy (no corrections) = 0.643 eV/atom
crystal system = trigonal
energy = -0.1651 Ha/atom

---

[2]
Below is an optimized crystal structure of MgI2N, with properties calculated at the GGA-PBEsol level.

abc: 5.2077 5.2077 5.2077
angles: 60.00 60.00 60.00
Each line ends with the local moment (μB).
Element x y z (fractional)
1 I 0.2500 0.2500 0.2500  0.13
2 I 0.7500 0.7500 0.7500  0.13
3 Mg 0.5000 0.5000 0.5000  0.01
4 N 0.0000 0.0000 0.0000  1.72

## Properties
formation energy (no corrections) = 0.760 eV/atom
crystal system = cubic
energy = -0.0987 Ha/atom

---

[3]
Below is an optimized crystal structure of MgI3N, with properties calculated at the GGA-PBEsol level.

abc: 5.6493 5.6493 5.6493
angles: 90.00 90.00 90.00
Each line ends with the local moment (μB).
Element x y z (fractional)
1 I 0.0000 0.5000 0.0000  0.02
2 I 0.0000 0.0000 0.5000  0.02
3 I 0.5000 0.0000 0.0000  0.02
4 Mg 0.0000 0.0000 0.0000  0.00
5 N 0.5000 0.5000 0.5000  1.90

## Properties
formation energy (no corrections) = 0.662 eV/atom
crystal system = cubic
energy = -0.0899 Ha/atom

---

[4]
Below is an optimized crystal structure of MgNbI2N, with properties calculated at the GGA-PBEsol level.

abc: 3.8398 5.5725 5.5725
angles: 90.00 90.00 90.00
Each line ends with the local moment (μB).
Element x y z (fractional)
1 I 0.0000 0.0000 0.5000  0.02
2 I 0.0000 0.5000 0.0000  0.02
3 Nb 0.5000 0.5000 0.5000  2.54
4 Mg 0.0000 0.0000 0.0000  0.00
5 N 0.5000 0.0000 0.0000  0.91

## Properties
formation energy (no corrections) = 0.842 eV/atom
crystal system = tetragonal
energy = -0.1499 Ha/atom

---

[5]
Below is an optimized crystal structure of MgNbI2N, with properties calculated at the GGA-PBEsol level.

abc: 3.9254 5.6515 5.6515
angles: 90.00 90.00 90.00
Element x y z (fractional)
1 I 0.0000 0.0000 0.5000
2 I 0.0000 0.5000 0.0000
3 Nb 0.0000 0.0000 0.0000
4 Mg 0.5000 0.5000 0.5000
5 N 0.5000 0.0000 0.0000

## Properties
formation energy (no corrections) = -0.057 eV/atom
crystal system = tetragonal
energy = -0.1829 Ha/atom

---

[6]
Below is an optimized crystal structure of MgIN2O, with properties calculated at the GGA-PBEsol level.

abc: 3.8047 3.8047 6.2058
angles: 90.00 90.00 90.00
Each line ends with the local moment (μB).
Element x y z (fractional)
1 I 0.0000 0.0000 0.5000  0.12
2 Mg 0.0000 0.0000 0.0000  0.02
3 O 0.5000 0.5000 0.5000  0.07
4 N 0.0000 0.5000 0.0000  0.94
5 N 0.5000 0.0000 0.0000  0.94

## Properties
formation energy (no corrections) = 1.617 eV/atom
crystal system = tetragonal
energy = -0.1301 Ha/atom

---

[7]
Below is an optimized crystal structure of MgIN2O, with properties calculated at the GGA-PBEsol level.

abc: 4.0951 4.0951 4.1148
angles: 90.00 90.00 90.00
Each line ends with the local moment (μB).
Element x y z (fractional)
1 I 0.0000 0.0000 0.5000  0.04
2 Mg 0.5000 0.5000 0.5000  -0.01
3 O 0.0000 0.0000 0.0000  -0.04
4 N 0.0000 0.5000 0.0000  0.54
5 N 0.5000 0.0000 0.0000  0.54

## Properties
formation energy (no corrections) = 1.621 eV/atom
crystal system = tetragonal
energy = -0.1299 Ha/atom

---

[8]
Below is an optimized crystal structure of MgSbI2N, with properties calculated at the GGA-PBEsol level.

abc: 3.9647 5.7217 5.7217
angles: 90.00 90.00 90.00
Each line ends with the local moment (μB).
Element x y z (fractional)
1 I 0.0000 0.0000 0.5000  0.06
2 I 0.0000 0.5000 0.0000  0.06
3 Sb 0.5000 0.5000 0.5000  0.02
4 Mg 0.0000 0.0000 0.0000  -0.01
5 N 0.5000 0.0000 0.0000  1.02

## Properties
formation energy (no corrections) = 0.421 eV/atom
crystal system = tetragonal
energy = -0.1193 Ha/atom

---

- Which of these has the highest energy?
  MgI3N

---

- Among the records above, which one has the highest formation energy (no corrections)?
  number 7